Density functional theory data (GGA-PBE) for a relaxed structure of LiLaSn.

Output
total energy = -11.96 eV per cell
D(E_F) = 0.85 states/eV per atom
formation energy = -0.373 eV per atom

abc: 6.5857 6.5857 6.5857
angles: 148.47 148.47 45.19
Fractional positions:
Li  0.0000  0.0000  0.0000
La  0.7009  0.7009  0.0000
Sn  0.3893  0.3893  0.0000